(1)
Compound: YBeSi2
Source: Alexandria
Functional: PBEsol
Structure: relaxed

The structure in CIF format:
```
data_YBeSi2
_chemical_formula_sum 'Y1 Be1 Si2'
_cell_length_a 3.937
_cell_length_b 3.948
_cell_length_c 5.325
_cell_angle_alpha 111.71
_cell_angle_beta 90.00
_cell_angle_gamma 119.90
_symmetry_space_group_name_H-M 'P 1'
_symmetry_Int_Tables_number 1
loop_
_symmetry_equiv_pos_as_xyz
'x,y,z'
loop_
_atom_site_label
_atom_site_type_symbol
_atom_site_fract_x
_atom_site_fract_y
_atom_site_fract_z
_atom_site_occupancy
Y1 Y 0.000 0.000 0.500 1
Be1 Be 0.500 0.000 0.000 1
Si1 Si 0.794 0.588 0.881 1
Si2 Si 0.206 0.412 0.119 1
```

The density of states at the Fermi level comes out at 1.6 states/eV/cell. As for the uncorrected formation energy: -0.37 eV/atom.

(2)
Compound: YBeSi
Source: Alexandria
Functional: PBEsol
Structure: relaxed

The structure in CIF format:
```
data_YBeSi
_chemical_formula_sum 'Y1 Be1 Si1'
_cell_length_a 3.850
_cell_length_b 3.850
_cell_length_c 3.981
_cell_angle_alpha 90.00
_cell_angle_beta 90.00
_cell_angle_gamma 120.00
_symmetry_space_group_name_H-M 'P 1'
_symmetry_Int_Tables_number 1
loop_
_symmetry_equiv_pos_as_xyz
'x,y,z'
loop_
_atom_site_label
_atom_site_type_symbol
_atom_site_fract_x
_atom_site_fract_y
_atom_site_fract_z
_atom_site_occupancy
Y1 Y 0.333 0.667 0.500 1
Be1 Be 0.000 0.000 0.000 1
Si1 Si 0.667 0.333 0.000 1
```

The density of states at the Fermi level comes out at 1.3 states/eV/cell. As for the uncorrected formation energy: -0.70 eV/atom.

(3)
Compound: Y3BeSi
Source: Alexandria
Functional: PBEsol
Structure: relaxed

The structure in CIF format:
```
data_Y3BeSi
_chemical_formula_sum 'Y3 Be1 Si1'
_cell_length_a 5.292
_cell_length_b 5.292
_cell_length_c 5.292
_cell_angle_alpha 90.00
_cell_angle_beta 90.00
_cell_angle_gamma 90.00
_symmetry_space_group_name_H-M 'P 1'
_symmetry_Int_Tables_number 1
loop_
_symmetry_equiv_pos_as_xyz
'x,y,z'
loop_
_atom_site_label
_atom_site_type_symbol
_atom_site_fract_x
_atom_site_fract_y
_atom_site_fract_z
_atom_site_occupancy
Y1 Y 0.000 0.500 0.000 1
Y2 Y 0.000 0.000 0.500 1
Y3 Y 0.500 0.000 0.000 1
Be1 Be 0.500 0.500 0.500 1
Si1 Si 0.000 0.000 0.000 1
```

The density of states at the Fermi level comes out at 8.1 states/eV/cell. As for the uncorrected formation energy: 0.33 eV/atom.

(4)
Compound: YBeSi
Source: Alexandria
Functional: PBEsol
Structure: relaxed

The structure in CIF format:
```
data_YBeSi
_chemical_formula_sum 'Y1 Be1 Si1'
_cell_length_a 4.163
_cell_length_b 4.163
_cell_length_c 4.163
_cell_angle_alpha 60.00
_cell_angle_beta 60.00
_cell_angle_gamma 60.00
_symmetry_space_group_name_H-M 'P 1'
_symmetry_Int_Tables_number 1
loop_
_symmetry_equiv_pos_as_xyz
'x,y,z'
loop_
_atom_site_label
_atom_site_type_symbol
_atom_site_fract_x
_atom_site_fract_y
_atom_site_fract_z
_atom_site_occupancy
Y1 Y 0.500 0.500 0.500 1
Be1 Be 0.250 0.250 0.250 1
Si1 Si 0.000 0.000 0.000 1
```

The density of states at the Fermi level comes out at 1.1 states/eV/cell. As for the uncorrected formation energy: -0.33 eV/atom.

(5)
Compound: ZrBe2Si
Source: Alexandria
Functional: PBEsol
Structure: relaxed

The structure in CIF format:
```
data_ZrBe2Si
_chemical_formula_sum 'Zr1 Be2 Si1'
_cell_length_a 3.628
_cell_length_b 3.628
_cell_length_c 4.852
_cell_angle_alpha 111.96
_cell_angle_beta 111.96
_cell_angle_gamma 90.00
_symmetry_space_group_name_H-M 'P 1'
_symmetry_Int_Tables_number 1
loop_
_symmetry_equiv_pos_as_xyz
'x,y,z'
loop_
_atom_site_label
_atom_site_type_symbol
_atom_site_fract_x
_atom_site_fract_y
_atom_site_fract_z
_atom_site_occupancy
Be1 Be 0.000 0.000 0.000 1
Be2 Be 0.750 0.250 0.500 1
Si1 Si 0.500 0.500 0.000 1
Zr1 Zr 0.250 0.750 0.500 1
```

The density of states at the Fermi level comes out at 3.3 states/eV/cell. As for the uncorrected formation energy: -0.06 eV/atom.

(6)
Compound: ZrBeSi2
Source: Alexandria
Functional: PBEsol
Structure: relaxed

The structure in CIF format:
```
data_ZrBeSi2
_chemical_formula_sum 'Zr1 Be1 Si2'
_cell_length_a 3.771
_cell_length_b 3.876
_cell_length_c 3.876
_cell_angle_alpha 90.00
_cell_angle_beta 90.00
_cell_angle_gamma 90.00
_symmetry_space_group_name_H-M 'P 1'
_symmetry_Int_Tables_number 1
loop_
_symmetry_equiv_pos_as_xyz
'x,y,z'
loop_
_atom_site_label
_atom_site_type_symbol
_atom_site_fract_x
_atom_site_fract_y
_atom_site_fract_z
_atom_site_occupancy
Be1 Be 0.500 0.000 0.000 1
Si1 Si 0.000 0.000 0.500 1
Si2 Si 0.000 0.500 0.000 1
Zr1 Zr 0.500 0.500 0.500 1
```

The density of states at the Fermi level comes out at 1.8 states/eV/cell. As for the uncorrected formation energy: -0.31 eV/atom.

(7)
Compound: ZrBeSi2
Source: Alexandria
Functional: PBEsol
Structure: relaxed

The structure in CIF format:
```
data_ZrBeSi2
_chemical_formula_sum 'Zr1 Be1 Si2'
_cell_length_a 2.753
_cell_length_b 2.753
_cell_length_c 7.740
_cell_angle_alpha 90.00
_cell_angle_beta 90.00
_cell_angle_gamma 90.00
_symmetry_space_group_name_H-M 'P 1'
_symmetry_Int_Tables_number 1
loop_
_symmetry_equiv_pos_as_xyz
'x,y,z'
loop_
_atom_site_label
_atom_site_type_symbol
_atom_site_fract_x
_atom_site_fract_y
_atom_site_fract_z
_atom_site_occupancy
Be1 Be 0.500 0.500 0.775 1
Si1 Si 0.000 0.000 0.964 1
Si2 Si 0.500 0.500 0.247 1
Zr1 Zr 0.000 0.000 0.514 1
```

The density of states at the Fermi level comes out at 2.2 states/eV/cell. As for the uncorrected formation energy: 0.12 eV/atom.

(8)
Compound: ZrBe2Si
Source: Alexandria
Functional: PBEsol
Structure: relaxed

The structure in CIF format:
```
data_ZrBe2Si
_chemical_formula_sum 'Zr1 Be2 Si1'
_cell_length_a 3.625
_cell_length_b 3.625
_cell_length_c 4.999
_cell_angle_alpha 68.74
_cell_angle_beta 68.74
_cell_angle_gamma 60.00
_symmetry_space_group_name_H-M 'P 1'
_symmetry_Int_Tables_number 1
loop_
_symmetry_equiv_pos_as_xyz
'x,y,z'
loop_
_atom_site_label
_atom_site_type_symbol
_atom_site_fract_x
_atom_site_fract_y
_atom_site_fract_z
_atom_site_occupancy
Be1 Be 0.951 0.951 0.148 1
Be2 Be 0.267 0.267 0.200 1
Si1 Si 0.540 0.540 0.380 1
Zr1 Zr 0.743 0.743 0.770 1
```

The density of states at the Fermi level comes out at 0.6 states/eV/cell. As for the uncorrected formation energy: -0.41 eV/atom.

(9)
Compound: ZrBe2Si
Source: Alexandria
Functional: PBEsol
Structure: relaxed

The structure in CIF format:
```
data_ZrBe2Si
_chemical_formula_sum 'Zr1 Be2 Si1'
_cell_length_a 3.718
_cell_length_b 3.718
_cell_length_c 4.679
_cell_angle_alpha 113.41
_cell_angle_beta 113.41
_cell_angle_gamma 90.00
_symmetry_space_group_name_H-M 'P 1'
_symmetry_Int_Tables_number 1
loop_
_symmetry_equiv_pos_as_xyz
'x,y,z'
loop_
_atom_site_label
_atom_site_type_symbol
_atom_site_fract_x
_atom_site_fract_y
_atom_site_fract_z
_atom_site_occupancy
Be1 Be 0.750 0.250 0.500 1
Be2 Be 0.250 0.750 0.500 1
Si1 Si 0.000 0.000 0.000 1
Zr1 Zr 0.500 0.500 0.000 1
```

The density of states at the Fermi level comes out at 2.0 states/eV/cell. As for the uncorrected formation energy: -0.06 eV/atom.

(10)
Compound: ZrBe2Si
Source: Alexandria
Functional: PBEsol
Structure: relaxed

The structure in CIF format:
```
data_ZrBe2Si
_chemical_formula_sum 'Zr1 Be2 Si1'
_cell_length_a 4.228
_cell_length_b 4.228
_cell_length_c 4.228
_cell_angle_alpha 60.00
_cell_angle_beta 60.00
_cell_angle_gamma 60.00
_symmetry_space_group_name_H-M 'P 1'
_symmetry_Int_Tables_number 1
loop_
_symmetry_equiv_pos_as_xyz
'x,y,z'
loop_
_atom_site_label
_atom_site_type_symbol
_atom_site_fract_x
_atom_site_fract_y
_atom_site_fract_z
_atom_site_occupancy
Be1 Be 0.000 0.000 0.000 1
Be2 Be 0.750 0.750 0.750 1
Si1 Si 0.500 0.500 0.500 1
Zr1 Zr 0.250 0.250 0.250 1
```

The density of states at the Fermi level comes out at 2.5 states/eV/cell. As for the uncorrected formation energy: 0.19 eV/atom.

Computed energy (eV per atom) in order:
-5.947, -6.227, -5.717, -5.852, -5.769, -6.451, -6.028, -6.124, -5.768, -5.520
Computed calculated volume (A^3/atom) in order:
16.22, 17.03, 29.63, 17.00, 13.55, 14.17, 14.66, 12.92, 13.37, 13.36
Computed ρ (g/cm³) in order:
3.94, 4.09, 3.40, 4.10, 4.21, 4.58, 4.43, 4.41, 4.26, 4.27